No. 1
Compound: Li2Rh
Source: the Alexandria database
Functional: PBEsol
Structure: relaxed

Calculated values
- Total moment: 0.0 μB/cell
- Total energy: -12.3 eV for the cell shown
- SG: No. 71
- DOS(E_F): 0.7 states/eV/cell

Cell: 4.5711 4.5711 4.5711 Å, 148.80 126.29 63.43°
Sites, in units of the cell vectors:
Li  0.1627  0.1627  0.0000
Li  0.8373  0.8373  0.0000
Rh  0.5000  0.5000  0.0000

No. 2
Compound: Li2Rh
Source: the Alexandria database
Functional: PBEsol
Structure: relaxed

Calculated values
- Total moment: 0.0 μB/cell
- Total energy: -24.5 eV for the cell shown
- SG: No. 12
- DOS(E_F): 3.2 states/eV/cell

Cell: 5.1581 5.1581 6.4295 Å, 102.20 102.20 29.73°
Sites, in units of the cell vectors:
Li  0.0288  0.0288  0.3325
Li  0.3504  0.3504  0.9637
Li  0.6496  0.6496  0.0363
Li  0.9712  0.9712  0.6675
Rh  0.2952  0.2952  0.3597
Rh  0.7048  0.7048  0.6403

No. 3
Compound: LiRh
Source: the Alexandria database
Functional: PBEsol
Structure: relaxed

Calculated values
- Total moment: 0.0 μB/cell
- Total energy: -30.7 eV for the cell shown
- SG: No. 8
- DOS(E_F): 6.3 states/eV/cell

Cell: 5.0740 5.0740 6.3380 Å, 102.85 102.85 30.17°
Sites, in units of the cell vectors:
Li  0.0000  0.0000  0.0000
Li  0.0453  0.0453  0.6390
Li  0.6486  0.6486  0.3454
Rh  0.3135  0.3135  0.6636
Rh  0.3699  0.3699  0.2970
Rh  0.7404  0.7404  0.9644

> Which value of DOS(E_F) does entry 2 give?

3.2 states/eV/cell

What did the first record say?
Compound: Li2Rh
Source: the Alexandria database
Functional: PBEsol
Structure: relaxed

Calculated values
- Total moment: 0.0 μB/cell
- Total energy: -12.3 eV for the cell shown
- SG: No. 71
- DOS(E_F): 0.7 states/eV/cell

Cell: 4.5711 4.5711 4.5711 Å, 148.80 126.29 63.43°
Sites, in units of the cell vectors:
Li  0.1627  0.1627  0.0000
Li  0.8373  0.8373  0.0000
Rh  0.5000  0.5000  0.0000

> Look up the DOS(E_F) of the second one.

3.2 states/eV/cell